SnBi12Rh7 after structural relaxation, computed with PBE.

Formation enthalpy at 0 K, eV per formula unit: -1.66
Raw total energy, eV per atom: -5.1845
V, Å³/cell: 487
Crystal system: trigonal

```
SnBi12Rh7
1.0
8.518 -0.214 -0.321
-2.574 8.122 -0.321
-2.574 -3.424 7.372
Bi Rh Sn
12 7 1
Direct
0.050 0.706 0.190 Bi
0.836 0.578 0.455 Bi
0.164 0.422 0.545 Bi
0.422 0.545 0.164 Bi
0.578 0.455 0.836 Bi
0.455 0.836 0.578 Bi
0.294 0.810 0.950 Bi
0.190 0.050 0.706 Bi
0.950 0.294 0.810 Bi
0.545 0.164 0.422 Bi
0.706 0.190 0.050 Bi
0.810 0.950 0.294 Bi
0.627 0.804 0.884 Rh
0.196 0.116 0.373 Rh
0.804 0.884 0.627 Rh
0.116 0.373 0.196 Rh
0.884 0.627 0.804 Rh
0.500 0.500 0.500 Rh
0.373 0.196 0.116 Rh
0.000 0.000 0.000 Sn
```